Entry w
VASP calculation (PBE) on a relaxed SbPI2Br crystal.

Lattice parameters (Å, degrees): 5.4017 5.4017 5.5197 90.00 90.00 90.00
Space group P4/mmm (No. 123)
One atom of each set of equivalent atoms:
Sb 0.0000 0.0000 0.0000 x1
P 0.0000 0.0000 0.5000 x1
I 0.0000 0.5000 0.5000 x2
Br 0.5000 0.5000 0.0000 x1



Entry x
VASP calculation (PBE) on a relaxed SbPI2Br crystal.

Lattice parameters (Å, degrees): 5.9176 5.9176 5.8594 90.00 90.00 90.00
Space group P4/mmm (No. 123)
One atom of each set of equivalent atoms:
Sb 0.0000 0.0000 0.0000 x1
P 0.5000 0.5000 0.0000 x1
I 0.0000 0.5000 0.5000 x2
Br 0.0000 0.0000 0.5000 x1



So which one is most stable? That would be entry w, about 721 meV per atom below the next structure.



Entry w
VASP calculation (PBE) on a relaxed PaIBr6 crystal.

Lattice parameters (Å, degrees): 7.8305 12.6381 8.9834 90.00 114.66 90.00
Space group C2/m (No. 12)
One atom of each set of equivalent atoms:
Pa 0.0000 0.0000 0.0000 x2
I 0.0000 0.5000 0.5000 x2
Br 0.0327 0.1490 0.8028 x8
Br 0.0952 0.5000 0.8287 x4



Entry x
VASP calculation (PBE) on a relaxed PaIBr6 crystal.

Lattice parameters (Å, degrees): 8.8626 12.1948 8.1077 90.00 117.00 90.00
Space group C2/m (No. 12)
One atom of each set of equivalent atoms:
Pa 0.0000 0.0000 0.0000 x2
I 0.0000 0.5000 0.5000 x2
Br 0.1879 0.1601 0.2491 x8
Br 0.2198 0.0000 0.8583 x4



So which one is most stable? That would be entry w, about 115 meV per atom below the next structure.



Entry w
VASP calculation (PBE) on a relaxed Pa2IBr8 crystal.

Lattice parameters (Å, degrees): 19.9909 11.6756 5.7434 90.00 106.66 90.00
Space group C2/m (No. 12)
One atom of each set of equivalent atoms:
Pa 0.1635 0.0000 0.1608 x4
I 0.0000 0.0000 0.0000 x2
Br 0.1547 0.0000 0.6519 x4
Br 0.1555 0.2285 0.1514 x8
Br 0.1979 0.5000 0.7000 x4



Entry x
VASP calculation (PBE) on a relaxed Pa2IBr8 crystal.

Lattice parameters (Å, degrees): 8.9569 12.9491 9.5735 90.00 94.53 90.00
Space group C2/m (No. 12)
One atom of each set of equivalent atoms:
Pa 0.1212 0.0000 0.2051 x4
I 0.0000 0.0000 0.5000 x2
Br 0.0892 0.5000 0.7068 x4
Br 0.1069 0.2063 0.2084 x8
Br 0.1878 0.0000 0.9189 x4



So which one is most stable? That would be entry x, about 29 meV per atom below the next structure.



Entry w
VASP calculation (PBE) on a relaxed PaI2Br4 crystal.

Lattice parameters (Å, degrees): 5.5834 5.5834 26.3829 90.00 90.00 90.00
Space group I4/mmm (No. 139)
One atom of each set of equivalent atoms:
Pa 0.0000 0.0000 0.0000 x2
I 0.0000 0.0000 0.2515 x4
Br 0.0000 0.0000 0.1006 x4
Br 0.0000 0.5000 0.0000 x4



Entry x
VASP calculation (PBE) on a relaxed PaI2Br4 crystal.

Lattice parameters (Å, degrees): 5.1531 5.1531 23.5661 90.00 90.00 90.00
Space group I-42m (No. 121)
One atom of each set of equivalent atoms:
Pa 0.0000 0.0000 0.0000 x2
I 0.0000 0.5000 0.2500 x4
Br 0.2334 0.2334 0.5768 x8



So which one is most stable? That would be entry w, about 54 meV per atom below the next structure.



Entry w
VASP calculation (PBE) on a relaxed PaI2Br crystal.

Lattice parameters (Å, degrees): 3.8921 12.0936 7.5814 90.00 90.00 90.00
Space group Imm2 (No. 44)
One atom of each set of equivalent atoms:
Pa 0.0000 0.0000 0.0000 x2
I 0.0000 0.3284 0.3315 x4
Br 0.0000 0.5000 0.7878 x2



Entry x
VASP calculation (PBE) on a relaxed PaI2Br crystal.

Lattice parameters (Å, degrees): 4.0160 5.7719 9.0774 90.95 102.73 90.00
Space group P-1 (No. 2)
One atom of each set of equivalent atoms:
Pa 0.0000 0.0000 0.0000 x1
I 0.3668 0.9933 0.7320 x2
Br 0.0000 0.5000 0.0000 x1



So which one is most stable? That would be entry w, about 19 meV per atom below the next structure.



Entry w
VASP calculation (PBE) on a relaxed PaIBr2 crystal.

Lattice parameters (Å, degrees): 3.5260 3.5260 38.4808 90.00 90.00 120.00
Space group R-3m (No. 166, hexagonal axes)
One atom of each set of equivalent atoms:
Pa 0.0000 0.0000 0.0000 x3
I 0.0000 0.0000 0.5000 x3
Br 0.0000 0.0000 0.3884 x6



Entry x
VASP calculation (PBE) on a relaxed PaIBr2 crystal.

Lattice parameters (Å, degrees): 6.2075 14.4937 3.8528 90.00 90.00 90.00
Space group Cmmm (No. 65)
One atom of each set of equivalent atoms:
Pa 0.0000 0.0000 0.0000 x2
I 0.0000 0.5000 0.0000 x2
Br 0.0000 0.1493 0.5000 x4



Entry y
VASP calculation (PBE) on a relaxed PaIBr2 crystal.

Lattice parameters (Å, degrees): 3.8157 12.0457 7.6565 90.00 90.00 90.00
Space group Imm2 (No. 44)
One atom of each set of equivalent atoms:
Pa 0.0000 0.0000 0.0000 x2
I 0.0000 0.5000 0.8203 x2
Br 0.0000 0.3401 0.3578 x4



So which one is most stable? That would be entry y, about 47 meV per atom below the next structure.



Entry w
VASP calculation (PBE) on a relaxed PaI2Br6 crystal.

Lattice parameters (Å, degrees): 7.7213 8.0770 8.1773 84.10 62.05 77.20
Space group P-1 (No. 2)
One atom of each set of equivalent atoms:
Pa 0.0000 0.0000 0.0000 x1
I 0.0868 0.5875 0.5639 x2
Br 0.2033 0.2556 0.8520 x2
Br 0.2058 0.9048 0.1972 x2
Br 0.2931 0.7893 0.7143 x2



Entry x
VASP calculation (PBE) on a relaxed PaI2Br6 crystal.

Lattice parameters (Å, degrees): 7.4934 11.1874 14.0872 90.00 120.00 90.00
Space group P2_1/c (No. 14)
One atom of each set of equivalent atoms:
Pa 0.0000 0.0000 0.0000 x2
I 0.4998 0.2482 0.2514 x4
Br 0.1311 0.1697 0.9170 x4
Br 0.1344 0.6638 0.4134 x4
Br 0.4058 0.5016 0.7027 x4



So which one is most stable? That would be entry w, about 86 meV per atom below the next structure.



Entry w
VASP calculation (PBE) on a relaxed PaIBr4 crystal.

Lattice parameters (Å, degrees): 6.1578 13.2394 9.8017 90.00 126.75 90.00
Space group P2_1/c (No. 14)
One atom of each set of equivalent atoms:
Pa 0.0000 0.0000 0.0000 x2
I 0.5000 0.0000 0.0000 x2
Br 0.1636 0.1739 0.1710 x4
Br 0.2793 0.6012 0.7932 x4



Entry x
VASP calculation (PBE) on a relaxed PaIBr4 crystal.

Lattice parameters (Å, degrees): 11.8681 15.5552 6.5469 90.00 113.38 90.00
Space group C2/c (No. 15)
One atom of each set of equivalent atoms:
Pa 0.0000 0.0842 0.2500 x4
I 0.0000 0.4989 0.7500 x4
Br 0.1502 0.1993 0.1931 x8
Br 0.1511 0.0553 0.7023 x8



So which one is most stable? That would be entry w, about 130 meV per atom below the next structure.